[1]
4
Lattice="-1.0944 2.4015 -0.6044 0.9425 -1.5938 -1.9752 -7.7567 -3.7124 -0.7058" Properties=species:S:1:pos:R:3 comment="MnIr3, optimized geometry, DFT PBE" sg=P-6m2 total_magnetization_mub_per_cell=0.00 final_energy_ev_per_atom=-9.02 pbc="T T T"
Ir -7.6221 -3.6480 -0.6936
Ir -4.0130 -1.9207 -0.3652
Ir -1.6756 -1.1901 -1.6948
Mn -5.5540 -3.0464 -2.0477

=====

[2]
8
Lattice="-4.5864 1.7498 -1.6240 0.3660 -2.4856 4.5191 0.6772 3.5218 1.8822" Properties=species:S:1:pos:R:3 comment="Mn3Ir, optimized geometry, DFT PBE" sg=P6_3/mmc total_magnetization_mub_per_cell=0.00 final_energy_ev_per_atom=-9.23 pbc="T T T"
Ir -1.1155 -0.1934 2.9420
Ir -2.4277 2.9794 1.8354
Mn -3.6421 1.9675 -0.1921
Mn 0.0989 0.8185 4.9694
Mn -3.4479 0.6488 2.2054
Mn -0.0953 2.1372 2.5719
Mn -1.2089 1.0391 0.6695
Mn -2.3343 1.7469 4.1078

=====

[3]
12
Lattice="6.5039 0.0000 0.0000 0.0000 6.5039 0.0000 0.0000 0.0000 6.5039" Properties=species:S:1:pos:R:3 comment="MnIr, optimized geometry, DFT PBE" sg=Pm-3n total_magnetization_mub_per_cell=5.43 final_energy_ev_per_atom=-7.79 pbc="T T T"
Mn 1.6260 3.2520 0.0000
Mn 4.8779 3.2520 0.0000
Mn 3.2520 0.0000 1.6260
Mn 3.2520 0.0000 4.8779
Mn 0.0000 1.6260 3.2520
Mn 0.0000 4.8779 3.2520
Ir 1.6260 0.0000 3.2520
Ir 4.8779 0.0000 3.2520
Ir 0.0000 3.2520 1.6260
Ir 0.0000 3.2520 4.8779
Ir 3.2520 1.6260 0.0000
Ir 3.2520 4.8779 0.0000

=====

[4]
6
Lattice="-0.2893 2.1107 1.7475 -5.2902 -2.4430 4.2474 2.9734 -1.8010 2.6676" Properties=species:S:1:pos:R:3 comment="MnIr5, optimized geometry, DFT PBE" sg=Amm2 total_magnetization_mub_per_cell=1.98 final_energy_ev_per_atom=-8.96 pbc="T T T"
Ir -0.3126 2.0949 1.7628
Ir -3.7099 -0.2149 3.9902
Ir -1.8374 -0.0956 1.9836
Ir -3.4227 -1.9309 6.1104
Ir -1.4887 -1.7697 4.0635
Mn 0.0634 0.4393 3.8248